DFT (PBE+U) results for crystalline Na5Ni9O16 at its relaxed geometry.

## Properties
Raw total energy = -4.61 eV/atom

a = 5.487 Å, b = 11.600 Å, c = 5.168 Å
α = 90.00°, β = 70.95°, γ = 90.00°
Sites, in units of the cell vectors:
Na (0.500, 0.122, 0.000)
Na (0.500, 0.375, 0.000)
Na (0.500, 0.628, 0.000)
Na (0.500, 0.237, 0.500)
Na (0.500, 0.513, 0.500)
Ni (0.000, 0.248, 0.000)
Ni (0.000, 0.754, 0.000)
Ni (0.000, 0.502, 0.000)
Ni (0.000, 0.996, 0.000)
Ni (0.000, 0.626, 0.500)
Ni (0.000, 0.875, 0.500)
Ni (0.000, 0.124, 0.500)
Ni (0.000, 0.375, 0.500)
Ni (0.500, 0.875, 0.000)
O (0.205, 0.494, 0.279)
O (0.205, 0.256, 0.279)
O (0.201, 0.760, 0.238)
O (0.201, 0.990, 0.238)
O (0.185, 0.375, 0.759)
O (0.188, 0.121, 0.789)
O (0.206, 0.875, 0.798)
O (0.188, 0.629, 0.789)
O (0.815, 0.375, 0.241)
O (0.812, 0.121, 0.211)
O (0.794, 0.875, 0.202)
O (0.812, 0.629, 0.211)
O (0.799, 0.760, 0.762)
O (0.799, 0.990, 0.762)
O (0.795, 0.494, 0.721)
O (0.795, 0.256, 0.721)